Compound: Sc3Co
Source: the Alexandria database
Functional: PBE
Structure: optimized geometry

POSCAR file:
```
Sc3Co
1.0
3.351 0.000 0.000
0.000 6.065 0.000
0.000 0.000 8.252
Sc Co
6 2
Direct
0.250 0.003 0.167
0.250 0.250 0.542
0.250 0.497 0.167
0.750 0.503 0.833
0.750 0.750 0.458
0.750 0.997 0.833
0.250 0.750 0.687
0.750 0.250 0.313
```

Output
The density is 3.84 g cm⁻³. The size of the total moment is 1.16 Bohr magnetons per cell. As for the space group: Pmmn (59). The formation energy comes out at -34 kJ/mol of formula units. The calculation puts the uncorrected energy at -6.61 eV/atom. As for the density of states at the Fermi level: 11.30 states/eV per cell.


Compound: Sr2Li3Zn12Pt
Source: the Alexandria database
Functional: PBE
Structure: optimized geometry

POSCAR file:
```
Sr2Li3Zn12Pt
1.0
3.231 1.866 9.778
-3.231 1.866 9.778
0.000 -3.731 9.778
Sr Li Zn Pt
2 3 12 1
Direct
0.149 0.149 0.149
0.851 0.851 0.851
0.000 0.500 0.500
0.500 0.000 0.500
0.500 0.500 0.000
0.082 0.082 0.688
0.082 0.688 0.082
0.143 0.574 0.574
0.312 0.918 0.918
0.426 0.426 0.857
0.426 0.857 0.426
0.574 0.143 0.574
0.574 0.574 0.143
0.688 0.082 0.082
0.857 0.426 0.426
0.918 0.312 0.918
0.918 0.918 0.312
0.500 0.500 0.500
```

Output
The density is 5.52 g cm⁻³. The size of the total moment is 0.00 Bohr magnetons per cell. As for the space group: R-3m (166). The formation energy comes out at -181 kJ/mol of formula units. The calculation puts the uncorrected energy at -1.79 eV/atom. As for the density of states at the Fermi level: 6.62 states/eV per cell.